Record 1
This record from Alexandria via LeMat-Bulk describes KCrFe2Sn at its PBEsol-relaxed geometry. The functional is SCAN.

Cell: 4.8739 4.8739 5.9246 Å, 90.00 90.00 90.00°
Site moments in Bohr magnetons follow the coordinates.
Element x y z (fractional)
Fe 0.5000 0.0000 0.0000  3.13
Fe 0.0000 0.5000 0.0000  3.13
K 0.0000 0.0000 0.5000  0.00
Sn 0.0000 0.0000 0.0000  -0.14
Cr 0.5000 0.5000 0.5000  4.39

Properties
Its density of states at the Fermi level is 2.55 states/eV per cell. The formation enthalpy at 0 K is 129.0 kJ per mole of atoms. The calculation puts the total magnetization at 11.3 μB per cell. Its space group is No. 123.


Record 2
This record from Alexandria via LeMat-Bulk describes LiCr2Fe at its PBEsol-relaxed geometry. The functional is SCAN.

Cell: 2.3275 3.9803 4.6982 Å, 90.00 90.00 90.00°
Site moments in Bohr magnetons follow the coordinates.
Element x y z (fractional)
Fe 0.5000 0.5000 0.0000  2.20
Li 0.5000 0.5000 0.5000  -0.01
Cr 0.0000 0.0000 0.7518  -0.17
Cr 0.0000 0.0000 0.2482  -0.17

Properties
Its density of states at the Fermi level is 3.29 states/eV per cell. For the polymorph energy (0 for the lowest one), the calculation gives 0.0 meV per atom. The formation enthalpy at 0 K is 43.6 kJ per mole of atoms. The calculation puts the total magnetization at 1.8 μB per cell. Its space group is No. 47.


Record 3
This record from Alexandria via LeMat-Bulk describes Li2CrFe at its PBEsol-relaxed geometry. The functional is SCAN.

Cell: 2.7731 2.7726 6.9922 Å, 90.00 90.00 90.00°
Site moments in Bohr magnetons follow the coordinates.
Element x y z (fractional)
Cr 0.0000 0.0000 0.5545  2.42
Li 0.0000 0.0000 0.9622  0.02
Li 0.5000 0.5000 0.2746  0.01
Fe 0.5000 0.5000 0.7087  -1.70

Properties
Its density of states at the Fermi level is 3.09 states/eV per cell. The formation enthalpy at 0 K is 32.0 kJ per mole of atoms. The calculation puts the total magnetization at 1.0 μB per cell. Its space group is No. 99.


Record 4
This record from Alexandria via LeMat-Bulk describes LiCr2Fe at its PBEsol-relaxed geometry. The functional is SCAN.

Cell: 2.4639 2.4639 8.8412 Å, 81.99 81.99 60.00°
Element x y z (fractional)
Li 0.0000 0.0000 0.0000
Fe 0.5000 0.5000 0.5000
Cr 0.2421 0.2421 0.2737
Cr 0.7579 0.7579 0.7263

Properties
Its density of states at the Fermi level is 2.47 states/eV per cell. For the polymorph energy (0 for the lowest one), the calculation gives 44.7 meV per atom. The formation enthalpy at 0 K is 47.9 kJ per mole of atoms. The calculation puts the total magnetization at 0.0 μB per cell. Its space group is No. 166.


Among the records above, which one has the highest total magnetization? KCrFe2Sn


Which value of total magnetization does entry 3 give? 1.0 μB per cell